1.
Density functional theory data (GGA-PBE) for a geometry-optimized CePu2Th3P6 structure.

abc: 7.113 7.113 7.074
angles: 99.65 99.65 119.98
Element x y z (fractional)
1 Ce 0.000 0.000 0.000
2 Pu 0.333 0.667 0.000
3 Pu 0.667 0.333 0.000
4 Th 0.166 0.834 0.500
5 Th 0.500 0.500 0.500
6 Th 0.834 0.166 0.500
7 P 0.081 0.417 0.244
8 P 0.255 0.255 0.757
9 P 0.417 0.081 0.244
10 P 0.583 0.919 0.756
11 P 0.745 0.745 0.243
12 P 0.919 0.583 0.756

Properties
Size of the total moment: 11.357 μB/f.u.
Space group: C2/m, No. 12

2.
Density functional theory data (GGA-PBE) for a geometry-optimized CeTmPu2P4 structure.

abc: 6.912 4.021 6.961
angles: 90.00 109.61 90.00
Element x y z (fractional)
1 Ce 0.000 0.000 0.000
2 Tm 0.000 0.500 0.500
3 Pu 0.500 0.000 0.500
4 Pu 0.500 0.500 0.000
5 P 0.253 0.000 0.748
6 P 0.255 0.500 0.256
7 P 0.745 0.500 0.744
8 P 0.747 0.000 0.252

Properties
Size of the total moment: 10.667 μB/f.u.
Space group: P2/m, No. 10

3.
Density functional theory data (GGA-PBE) for a geometry-optimized Ce3TmPu2P6 structure.

abc: 6.996 6.996 6.973
angles: 99.63 99.63 120.01
Element x y z (fractional)
1 Ce 0.000 0.000 0.000
2 Ce 0.334 0.666 0.000
3 Ce 0.666 0.334 0.000
4 Tm 0.500 0.500 0.500
5 Pu 0.167 0.833 0.500
6 Pu 0.833 0.167 0.500
7 P 0.086 0.419 0.257
8 P 0.248 0.248 0.743
9 P 0.419 0.086 0.257
10 P 0.581 0.914 0.743
11 P 0.752 0.752 0.257
12 P 0.914 0.581 0.743

Properties
Size of the total moment: 11.905 μB/f.u.
Space group: C2/m, No. 12

4.
Density functional theory data (GGA-PBE) for a geometry-optimized Ce2Tm3PuP6 structure.

abc: 8.944 8.944 7.987
angles: 102.75 102.75 25.91
Element x y z (fractional)
1 Ce 0.166 0.166 0.332
2 Ce 0.834 0.834 0.668
3 Tm 0.167 0.167 0.834
4 Tm 0.500 0.500 0.500
5 Tm 0.833 0.833 0.166
6 Pu 0.500 0.500 0.000
7 P 0.002 0.002 0.751
8 P 0.333 0.333 0.921
9 P 0.334 0.334 0.413
10 P 0.666 0.666 0.587
11 P 0.667 0.667 0.079
12 P 0.998 0.998 0.249

Properties
Size of the total moment: 6.141 μB/f.u.
Space group: C2/m, No. 12

5.
Density functional theory data (GGA-PBE) for a geometry-optimized CePu3U2P6 structure.

abc: 6.908 6.908 6.918
angles: 99.59 99.59 120.06
Element x y z (fractional)
1 Ce 0.000 0.000 0.000
2 Pu 0.164 0.836 0.500
3 Pu 0.500 0.500 0.500
4 Pu 0.836 0.164 0.500
5 U 0.333 0.667 0.000
6 U 0.667 0.333 0.000
7 P 0.081 0.424 0.248
8 P 0.258 0.258 0.754
9 P 0.424 0.081 0.248
10 P 0.576 0.919 0.752
11 P 0.742 0.742 0.246
12 P 0.919 0.576 0.752

Properties
Size of the total moment: 8.974 μB/f.u.
Space group: C2/m, No. 12

6.
Density functional theory data (GGA-PBE) for a geometry-optimized CePuU2P4 structure.

abc: 6.863 3.975 7.017
angles: 90.00 109.16 90.00
Element x y z (fractional)
1 Ce 0.000 0.000 0.000
2 Pu 0.500 0.500 0.000
3 U 0.000 0.500 0.500
4 U 0.500 0.000 0.500
5 P 0.251 0.000 0.743
6 P 0.256 0.500 0.260
7 P 0.744 0.500 0.740
8 P 0.749 0.000 0.257

Properties
Size of the total moment: 10.269 μB/f.u.
Space group: P2/m, No. 10

7.
Density functional theory data (GGA-PBE) for a geometry-optimized Ce2Pu3UP6 structure.

abc: 8.972 8.972 8.043
angles: 102.49 102.49 25.91
Element x y z (fractional)
1 Ce 0.166 0.166 0.334
2 Ce 0.834 0.834 0.666
3 Pu 0.168 0.168 0.834
4 Pu 0.500 0.500 0.500
5 Pu 0.832 0.832 0.166
6 U 0.500 0.500 0.000
7 P 0.003 0.003 0.756
8 P 0.335 0.335 0.412
9 P 0.335 0.335 0.923
10 P 0.665 0.665 0.077
11 P 0.665 0.665 0.588
12 P 0.997 0.997 0.244

Properties
Size of the total moment: 18.719 μB/f.u.
Space group: C2/m, No. 12

8.
Density functional theory data (GGA-PBE) for a geometry-optimized CeY2PuP4 structure.

abc: 6.969 4.033 6.978
angles: 90.00 109.59 90.00
Element x y z (fractional)
1 Ce 0.000 0.000 0.000
2 Y 0.500 0.000 0.500
3 Y 0.500 0.500 0.000
4 Pu 0.000 0.500 0.500
5 P 0.247 0.000 0.746
6 P 0.250 0.500 0.252
7 P 0.750 0.500 0.748
8 P 0.753 0.000 0.254

Properties
Size of the total moment: 5.582 μB/f.u.
Space group: P2/m, No. 10

no.,total DFT energy (no corrections) (eV for the cell shown)
1,-106.45
2,-71.51
3,-100.23
4,-89.98
5,-117.53
6,-73.62
7,-113.49
8,-66.66